Material: LiSc4Tl2
Method: DFT, PBE
State: relaxed

Unit cell a=7.9673 b=7.9673 c=7.9673 alpha=36.73 beta=36.73 gamma=36.73
Positions (direct):
Li 0.0000 0.0000 0.0000
Sc 0.1530 0.1530 0.1530
Sc 0.4293 0.4293 0.4293
Sc 0.5707 0.5707 0.5707
Sc 0.8470 0.8470 0.8470
Tl 0.2845 0.2845 0.2845
Tl 0.7155 0.7155 0.7155

Computed properties:
Total energy: -0.3459 Ry/atom
Total magnetization: 0.0 μB per cell
Formation energy: -93 kJ/mol of formula units

Material: LiSc2Tl3
Method: DFT, PBE
State: relaxed

Unit cell a=3.4549 b=3.4549 c=11.2564 alpha=90.00 beta=90.00 gamma=90.00
Positions (direct):
Li 0.0000 0.0000 0.0000
Sc 0.0000 0.0000 0.3237
Sc 0.0000 0.0000 0.6763
Tl 0.5000 0.5000 0.1484
Tl 0.5000 0.5000 0.5000
Tl 0.5000 0.5000 0.8516

Computed properties:
Total energy: -0.2836 Ry/atom
Total magnetization: 0.6 μB per cell
Formation energy: -142 kJ/mol of formula units

Material: LiScTl2
Method: DFT, PBE
State: relaxed

Unit cell a=4.9247 b=4.9247 c=3.6848 alpha=90.00 beta=90.00 gamma=90.00
Positions (direct):
Li 0.0000 0.0000 0.0000
Sc 0.5000 0.5000 0.0000
Tl 0.0000 0.5000 0.5000
Tl 0.5000 0.0000 0.5000

Computed properties:
Total energy: -0.2589 Ry/atom
Total magnetization: 0.0 μB per cell
Formation energy: -107 kJ/mol of formula units